Record 1
Computed, not measured: an optimized crystal structure of Sc2TaIn at the PBE level of DFT.

a = 4.3009 Å, b = 4.4154 Å, c = 4.4154 Å
α = 90.00°, β = 90.00°, γ = 90.00°
Sites, in units of the cell vectors:
Sc 0.0000 0.5000 0.5000
Sc 0.0000 0.0000 0.0000
In 0.5000 0.0000 0.5000
Ta 0.5000 0.5000 0.0000

Output
Symmetry   P4/mmm

=====

Record 2
Computed, not measured: an optimized crystal structure of ScTa2In at the PBE level of DFT.

a = 5.4665 Å, b = 5.4665 Å, c = 2.9549 Å
α = 90.00°, β = 90.00°, γ = 115.40°
Sites, in units of the cell vectors:
Sc 0.0000 0.5000 0.5000
In 0.5000 0.0000 0.5000
Ta 0.5000 0.5000 0.0000
Ta 0.0000 0.0000 0.0000

Output
Symmetry   Cmmm

=====

Record 3
Computed, not measured: an optimized crystal structure of Sc2TaIn at the PBE level of DFT.

a = 6.0432 Å, b = 6.0432 Å, c = 6.0432 Å
α = 148.66°, β = 130.37°, γ = 59.88°
Sites, in units of the cell vectors:
In 0.7414 0.2414 0.5000
Sc 0.2633 0.7633 0.5000
Sc 0.9883 0.9883 0.0000
Ta 0.5070 0.5070 0.0000

Output
Symmetry   Imm2

=====

Record 4
Computed, not measured: an optimized crystal structure of ScTa2In at the PBE level of DFT.

a = 5.0468 Å, b = 2.9397 Å, c = 5.4389 Å
α = 82.07°, β = 90.00°, γ = 90.00°
Sites, in units of the cell vectors:
Ta 0.0000 0.4731 0.5112
Ta 0.0000 0.0269 0.9888
Sc 0.5000 0.7500 0.7500
In 0.5000 0.2500 0.2500

Output
Symmetry   P2/m

=====

Record 5
Computed, not measured: an optimized crystal structure of Sc2TaIn at the PBE level of DFT.

a = 4.1615 Å, b = 4.1615 Å, c = 10.8052 Å
α = 78.90°, β = 78.90°, γ = 90.00°
Sites, in units of the cell vectors:
Ta 0.7500 0.2500 0.5000
Ta 0.0000 0.0000 0.0000
Sc 0.8750 0.8829 0.7500
Sc 0.1171 0.6250 0.2500
Sc 0.6329 0.1250 0.2500
Sc 0.3750 0.3671 0.7500
In 0.5000 0.5000 0.0000
In 0.2500 0.7500 0.5000

Output
Symmetry   I-42d

=====

Record 6
Computed, not measured: an optimized crystal structure of ScTaIn2 at the PBE level of DFT.

a = 4.2594 Å, b = 4.2594 Å, c = 10.8770 Å
α = 78.71°, β = 78.71°, γ = 90.00°
Site moments in Bohr magnetons follow the coordinates.
Sites, in units of the cell vectors:
In 0.3750 0.3608 0.7500  0.01
In 0.8750 0.8892 0.7500  0.01
In 0.1108 0.6250 0.2500  0.02
In 0.6392 0.1250 0.2500  0.01
Ta 0.0000 0.0000 0.0000  0.55
Ta 0.7500 0.2500 0.5000  0.55
Sc 0.5000 0.5000 0.0000  0.23
Sc 0.2500 0.7500 0.5000  0.23

Output
Offset from the most stable computed form   2.40 eV/f.u.
Symmetry   I-42d

=====

Record 7
Computed, not measured: an optimized crystal structure of Sc2TaIn at the PBE level of DFT.

a = 5.4484 Å, b = 5.4484 Å, c = 5.4484 Å
α = 133.30°, β = 133.30°, γ = 68.19°
Sites, in units of the cell vectors:
Ta 0.2500 0.7500 0.5000
Sc 0.0000 0.0000 0.0000
Sc 0.5000 0.5000 0.0000
In 0.7500 0.2500 0.5000

Output
Symmetry   I4/mmm

=====

Record 8
Computed, not measured: an optimized crystal structure of Sc2TaIn at the PBE level of DFT.

a = 3.0348 Å, b = 3.0348 Å, c = 9.4036 Å
α = 90.00°, β = 90.00°, γ = 90.02°
Site moments in Bohr magnetons follow the coordinates.
Sites, in units of the cell vectors:
Ta 0.0000 0.0000 0.5014  -0.01
In 0.5000 0.5000 0.7411  0.00
Sc 0.5000 0.5000 0.2704  0.00
Sc 0.0000 0.0000 0.9872  0.12

Output
Symmetry   P4mm

=====

no.,formation energy from the elements (eV/atom)
1,-0.04
2,0.16
3,0.02
4,0.12
5,0.47
6,0.52
7,-0.02
8,-0.02